First-principles (PBE-GGA) data for a relaxed structure of LaPrTmIn, as listed in Alexandria.

abc: 5.5478 5.5478 5.5502
angles: 119.99 119.99 90.00
Fractional positions:
Pr 0.0000 0.0000 0.0000
Tm 0.5000 0.5000 0.0000
In 0.2500 0.7500 0.5000
La 0.7500 0.2500 0.5000

Summary:
The calculation puts the energy of formation at -0.096 eV per atom. Its total magnetization is 0.00 Bohr magnetons per cell. The value obtained for the density of states at the Fermi level is 7.31 states/eV/f.u. As for the symmetry: No. 216. The energy relative to the lowest polymorph listed for this composition comes out at 4.5 kJ/mol of formula units.



First-principles (PBE-GGA) data for a relaxed structure of LaPrTmIn, as listed in Alexandria.

abc: 5.5883 5.5883 5.5883
angles: 60.00 60.00 60.00
Site moments in Bohr magnetons follow the coordinates.
Fractional positions:
Tm 0.7500 0.7500 0.7500  0.29
La 0.2500 0.2500 0.2500  0.18
In 0.5000 0.5000 0.5000  -0.01
Pr 0.0000 0.0000 0.0000  0.32

Summary:
The calculation puts the energy of formation at -0.108 eV per atom. Its total magnetization is 1.27 Bohr magnetons per cell. The value obtained for the density of states at the Fermi level is 6.27 states/eV/f.u. As for the symmetry: No. 216. The energy relative to the lowest polymorph listed for this composition comes out at 0.0 kJ/mol of formula units.



First-principles (PBE-GGA) data for a relaxed structure of La2Pr2Tm2In, as listed in Alexandria.

abc: 3.7333 6.5122 11.6689
angles: 117.88 90.00 106.66
Fractional positions:
Pr 0.4838 0.9677 0.2584
La 0.3158 0.6317 0.9066
Tm 0.7335 0.4671 0.6110
Tm 0.2665 0.5329 0.3890
In 0.0000 0.0000 0.5000
Pr 0.5162 0.0323 0.7416
La 0.6842 0.3683 0.0934

Summary:
The calculation puts the energy of formation at -0.045 eV per atom. Its total magnetization is 0.00 Bohr magnetons per cell. The value obtained for the density of states at the Fermi level is 10.11 states/eV/f.u. As for the symmetry: No. 12.



First-principles (PBE-GGA) data for a relaxed structure of La2Pr6Y3In, as listed in Alexandria.

abc: 6.2845 6.2845 12.0695
angles: 94.99 94.99 120.07
Fractional positions:
Pr 0.0831 0.4074 0.2511
Pr 0.2409 0.2409 0.7485
La 0.3336 0.6664 0.0000
Pr 0.7591 0.7591 0.2515
Y 0.8331 0.1669 0.5000
Pr 0.4074 0.0831 0.2511
Y 0.1669 0.8331 0.5000
In 0.0000 0.0000 0.0000
Y 0.5000 0.5000 0.5000
La 0.6664 0.3336 0.0000
Pr 0.5926 0.9169 0.7489
Pr 0.9169 0.5926 0.7489

Summary:
The calculation puts the energy of formation at -0.061 eV per atom. Its total magnetization is 0.00 Bohr magnetons per cell. The value obtained for the density of states at the Fermi level is 14.99 states/eV/f.u. As for the symmetry: No. 12.